(1)
Entry from Alexandria via LeMat-Bulk: a relaxed structure of LaSmGdTm (GGA-PBE).

Geometry as POSCAR:
```
LaSmGdTm
1.0
-1.9095 5.4164 -0.3658
-3.4711 1.5415 -4.3235
-5.5377 1.1748 1.0348
Gd Tm Sm La
1 1 1 1
direct
0.0000 0.0000 0.0000
0.5000 0.5000 0.5000
0.7500 0.7500 0.7500
0.2500 0.2500 0.2500
```

## Properties
- Energy of formation from the pure elements: 0.1017 eV/atom
- Total DFT energy (no corrections): -6.948 eV/atom
- DOS at the Fermi energy: 7.77 states/eV/f.u.
- Crystal system: cubic
- Total magnetic moment: 7.9 μB per formula unit
- SG: F-43m, No. 216

=====

(2)
Entry from Alexandria via LeMat-Bulk: a relaxed structure of LaSmGdY (GGA-PBE).

Geometry as POSCAR:
```
LaSmGdY
1.0
-0.0960 -5.7570 -0.5960
1.6511 -2.4208 -4.9921
4.9643 -2.9643 -0.2767
Y Gd Sm La
1 1 1 1
direct
0.2500 0.2500 0.2500
0.7500 0.7500 0.7500
0.0000 0.0000 0.0000
0.5000 0.5000 0.5000
```

## Properties
- Energy of formation from the pure elements: 0.1038 eV/atom
- Total DFT energy (no corrections): -7.444 eV/atom
- DOS at the Fermi energy: 8.35 states/eV/f.u.
- Crystal system: cubic
- Total magnetic moment: 8.0 μB per formula unit
- SG: F-43m, No. 216

=====

(3)
Entry from Alexandria via LeMat-Bulk: a relaxed structure of LaSmGdZr (GGA-PBE).

Geometry as POSCAR:
```
LaSmGdZr
1.0
5.5974 0.0000 0.0000
2.7987 4.8475 0.0000
2.7987 1.6158 4.5702
Gd Zr Sm La
1 1 1 1
direct
0.7500 0.7500 0.7500
0.5000 0.5000 0.5000
0.0000 0.0000 0.0000
0.2500 0.2500 0.2500
```

## Properties
- Energy of formation from the pure elements: 0.2221 eV/atom
- Total DFT energy (no corrections): -7.847 eV/atom
- DOS at the Fermi energy: 7.81 states/eV/f.u.
- Crystal system: cubic
- Total magnetic moment: 8.8 μB per formula unit
- SG: F-43m, No. 216

=====

Question: Which of these has the lowest energy of formation from the pure elements?
Answer: LaSmGdTm

=====

Question: What is the energy of formation from the pure elements in the first record?
Answer: 0.1017 eV/atom

=====

Question: Which of these has the highest total DFT energy (no corrections)?
Answer: LaSmGdTm